A geometry-optimized CaSbF2 structure. Source: the Alexandria database, functional GGA-PBE.

```
CaSbF2
1.0
-3.217 3.217 4.665
3.217 -3.217 4.665
3.217 3.217 -4.665
Ca Sb F
2 2 4
Direct
0.000 0.000 0.000
0.750 0.250 0.500
0.250 0.750 0.500
0.500 0.500 0.000
0.375 0.244 0.369
0.756 0.125 0.131
0.875 0.006 0.631
0.994 0.625 0.869
```

Summary:
energy above the lowest structure with this stoichiometry: 379 meV per atom
space-group type: No. 122
ΔE_f (raw): -2.21 eV per atom